Material: Ca2BeCu
Method: DFT, PBE
State: relaxed

Results
Space group ... Pmm2
N(E_F) ... 2.4 states/eV per cell
ΔH_f (0 K) ... 0.17 eV per atom
Crystal system ... orthorhombic

Lattice parameters (Å, degrees): 3.2741 3.3069 8.1696 90.00 90.00 90.00
Closest atoms and distances in Å follow each position.
Positions (direct):
Be (0.5000, 0.5000, 0.6734)  4 Cu 2.45
Ca (0.0000, 0.0000, 0.9277)  1 Cu 2.86, 4 Be 3.12
Ca (0.5000, 0.5000, 0.3213)  1 Be 2.88, 4 Cu 3.13
Cu (0.0000, 0.0000, 0.5776)  4 Be 2.45

Material: CeAs3Pd4Pb2
Method: DFT, PBE
State: relaxed

Results
Space group ... P-4m2
N(E_F) ... 8.2 states/eV per cell
ΔH_f (0 K) ... -0.42 eV per atom
Crystal system ... tetragonal

Lattice parameters (Å, degrees): 4.3722 4.3722 11.2632 90.00 90.00 90.00
Closest atoms and distances in Å follow each position.
Positions (direct):
Ce (0.5000, 0.5000, 0.5000)  4 Pd 2.79, 4 As 3.09
As (0.0000, 0.0000, 0.5000)  4 Pd 2.79, 4 Ce 3.09
As (0.5000, 0.0000, 0.8752)  5 Pd 2.49-2.60
As (0.0000, 0.5000, 0.1248)  5 Pd 2.49-2.60
Pd (0.5000, 0.5000, 0.0000)  4 As 2.60
Pd (0.0000, 0.0000, 0.0000)  4 As 2.60
Pd (0.5000, 0.0000, 0.6546)  1 As 2.49
Pd (0.0000, 0.5000, 0.3454)  1 As 2.49
Pb (0.5000, 0.0000, 0.2123)  8 Pd 3.24-3.44, 4 As 3.24
Pb (0.0000, 0.5000, 0.7877)  8 Pd 3.24-3.44, 4 As 3.24

Material: MgRe2Se
Method: DFT, PBE
State: relaxed

Results
Space group ... Pm
N(E_F) ... 2.8 states/eV per cell
Crystal system ... monoclinic
Raw total energy ... -29.6 eV for the cell shown

Lattice parameters (Å, degrees): 2.9953 3.0633 7.9953 87.85 90.00 90.00
Closest atoms and distances in Å follow each position.
Positions (direct):
Mg (0.5000, 0.5491, 0.7892)  4 Re 2.86-2.88, 2 Se 2.98, 4 Mg 3.00-3.06
Re (0.0000, 0.0200, 0.0280)  4 Re 2.59-2.60, 4 Mg 2.86-2.88
Re (0.5000, 0.5048, 0.2113)  2 Se 2.57, 4 Re 2.59-2.60
Se (0.0000, 0.4260, 0.4715)  2 Re 2.57

Material: La4Nd2Tl3
Method: DFT, PBE
State: relaxed

Results
Space group ... C2/c
N(E_F) ... 24.3 states/eV per cell
ΔH_f (0 K) ... -0.19 eV per atom
Crystal system ... monoclinic

Lattice parameters (Å, degrees): 12.3527 7.1689 7.1689 86.02 75.87 75.87
Closest atoms and distances in Å follow each position.
Positions (direct):
La (0.3732, 0.8877, 0.1932)  2 La 3.42-3.83, 4 Tl 3.42-3.63, 2 Nd 3.58-3.81
La (0.1268, 0.8068, 0.1123)  2 La 3.42-3.83, 4 Tl 3.42-3.63, 2 Nd 3.58-3.81
La (0.6268, 0.1123, 0.8068)  2 La 3.42-3.83, 4 Tl 3.42-3.63, 2 Nd 3.58-3.81
La (0.8732, 0.1932, 0.8877)  2 La 3.42-3.83, 4 Tl 3.42-3.63, 2 Nd 3.58-3.81
La (0.0658, 0.2942, 0.3523)  3 Tl 3.28-3.51, 2 Nd 3.43-3.57, 1 La 3.56
La (0.4342, 0.6477, 0.7058)  3 Tl 3.28-3.51, 2 Nd 3.43-3.57, 1 La 3.56
La (0.9342, 0.7058, 0.6477)  3 Tl 3.28-3.51, 2 Nd 3.43-3.57, 1 La 3.56
La (0.5658, 0.3523, 0.2942)  3 Tl 3.28-3.51, 2 Nd 3.43-3.57, 1 La 3.56
Nd (0.3715, 0.1379, 0.6454)  1 Nd 3.10, 3 Tl 3.25-3.38, 1 La 3.43
Nd (0.1285, 0.3546, 0.8621)  1 Nd 3.10, 3 Tl 3.25-3.38, 1 La 3.43
Nd (0.6285, 0.8621, 0.3546)  1 Nd 3.10, 3 Tl 3.25-3.38, 1 La 3.43
Nd (0.8715, 0.6454, 0.1379)  1 Nd 3.10, 3 Tl 3.25-3.38, 1 La 3.43
Tl (0.8473, 0.0582, 0.3611)  1 Tl 3.08, 2 La 3.28-3.42, 2 Nd 3.35-3.38
Tl (0.6527, 0.6389, 0.9418)  1 Tl 3.08, 2 La 3.28-3.42, 2 Nd 3.35-3.38
Tl (0.1527, 0.9418, 0.6389)  1 Tl 3.08, 2 La 3.28-3.42, 2 Nd 3.35-3.38
Tl (0.3473, 0.3611, 0.0582)  1 Tl 3.08, 2 La 3.28-3.42, 2 Nd 3.35-3.38
Tl (0.2500, 0.5384, 0.4616)  2 Tl 3.08, 2 Nd 3.25, 2 La 3.44
Tl (0.7500, 0.4616, 0.5384)  2 Tl 3.08, 2 Nd 3.25, 2 La 3.44

Q: What is the N(E_F) in the third record?
A: 2.8 states/eV per cell

Q: The lowest N(E_F) belongs to which entry?
A: Ca2BeCu

Q: Among the records above, which one has the lowest N(E_F)?
A: Ca2BeCu

Q: Among the records above, which one has the lowest N(E_F)?
A: Ca2BeCu